Record 1
Entry from Alexandria: crystalline RbNa2PmF6 at its relaxed geometry (PBE).

Space-group type: R3 (146)
Uncorrected energy: -5.222 eV/atom
Calculated density: 3.7 g cm⁻³
Density of states at the Fermi level: 0.00 states/eV/cell
Crystal system: trigonal

Geometry as POSCAR:
```
RbNa2PmF6
1.0
-3.197 -0.037 5.247
-6.030 -1.178 -0.084
-2.056 -5.667 2.306
Rb F Na Pm
1 6 2 1
Direct
0.794 0.794 0.619 Rb
0.603 0.254 0.222 F
0.192 0.336 0.762 F
0.922 0.603 0.222 F
0.710 0.192 0.762 F
0.336 0.710 0.762 F
0.254 0.922 0.222 F
0.014 0.014 0.957 Na
0.523 0.523 0.430 Na
0.314 0.314 0.058 Pm
```



Record 2
Entry from Alexandria: crystalline Na2PmRhF8 at its relaxed geometry (PBE).

Space-group type: P2/m (10)
Uncorrected energy: -5.230 eV/atom
Calculated density: 4.4 g cm⁻³
Crystal system: monoclinic

Geometry as POSCAR:
```
Na2PmRhF8
1.0
4.387 -0.109 -0.002
-0.082 5.493 -0.006
0.004 0.008 7.063
F Na Rh Pm
8 2 1 1
Direct
0.638 0.769 0.000 F
0.431 0.242 0.500 F
0.569 0.758 0.500 F
0.113 0.785 0.776 F
0.887 0.215 0.224 F
0.362 0.231 0.000 F
0.886 0.215 0.776 F
0.114 0.785 0.224 F
0.500 0.500 0.233 Na
0.500 0.500 0.767 Na
0.000 0.000 0.000 Rh
0.000 0.000 0.500 Pm
```